[1]
# LaGaFeRe2

A relaxed LaGaFeRe2 crystal (PBE-GGA, the Alexandria database).

Cell: 4.723 4.444 4.723 Å, 90.00 90.00 90.00°
Each line ends with the local moment (μB).
Element x y z (fractional)
La 0.500 0.500 0.500  0.07
Re 0.000 0.000 0.500  0.73
Ga 0.000 0.000 0.000  0.00
Re 0.500 0.000 0.000  0.56
Fe 0.000 0.500 0.000  -0.40

Output
- Energy relative to the elements: 1.16 eV/atom
- Total DFT energy (no corrections): -35.5 eV/cell
- Density of states at the Fermi level: 9.33 states/eV per cell
- Crystal system: tetragonal


[2]
# InTc2Te

A relaxed InTc2Te crystal (PBE-GGA, the Alexandria database).

Cell: 3.252 3.252 6.620 Å, 90.00 90.00 90.00°
Element x y z (fractional)
In 0.500 0.500 0.750
Te 0.500 0.500 0.250
Tc 0.000 0.000 0.012
Tc 0.000 0.000 0.488

Output
- Total DFT energy (no corrections): -25.4 eV/cell
- Formation energy without anion corrections: 0.3118 eV/atom
- Density of states at the Fermi level: 4.32 states/eV per cell
- Offset from the most stable computed form: 44.8 kJ/mol of formula units
- Crystal system: tetragonal


[3]
# Al3TcBr

A relaxed Al3TcBr crystal (PBE-GGA, the Alexandria database).

Cell: 4.853 4.853 4.853 Å, 90.00 90.00 90.00°
Element x y z (fractional)
Al 0.000 0.000 0.500
Al 0.000 0.500 0.000
Al 0.500 0.000 0.000
Tc 0.000 0.000 0.000
Br 0.500 0.500 0.500

Output
- Total DFT energy (no corrections): -22.1 eV/cell
- Formation energy without anion corrections: 0.2308 eV/atom
- Density of states at the Fermi level: 2.73 states/eV per cell
- Offset from the most stable computed form: 0.0 kJ/mol of formula units
- Crystal system: cubic


[4]
# ErThTl

A relaxed ErThTl crystal (PBE-GGA, the Alexandria database).

Cell: 4.487 9.603 8.409 Å, 90.00 90.00 90.00°
Element x y z (fractional)
Er 0.750 0.066 0.359
Th 0.250 0.159 0.025
Th 0.750 0.659 0.475
Er 0.250 0.566 0.141
Er 0.750 0.434 0.859
Tl 0.750 0.361 0.231
Tl 0.250 0.639 0.769
Tl 0.750 0.139 0.731
Tl 0.250 0.861 0.269
Th 0.250 0.341 0.525
Th 0.750 0.841 0.975
Er 0.250 0.934 0.641

Output
- Energy relative to the elements: -0.13 eV/atom
- Total DFT energy (no corrections): -58.9 eV/cell
- Density of states at the Fermi level: 13.59 states/eV per cell
- Offset from the most stable computed form: 0.3 kJ/mol of formula units
- Crystal system: orthorhombic